1.
Computed, not measured: a relaxed structure of LaAl5Pd2 at the PBE level of DFT.

Unit cell a=6.500 b=6.500 c=4.129 alpha=108.31 beta=108.31 gamma=67.81
Positions (direct):
La: 0.000 0.000 0.000
Al: 0.162 0.541 0.352
Al: 0.459 0.838 0.648
Al: 0.500 0.500 0.000
Al: 0.541 0.162 0.352
Al: 0.838 0.459 0.648
Pd: 0.259 0.259 0.760
Pd: 0.741 0.741 0.240

Properties
The value obtained for the energy is -39.8 eV/cell. The space group is C2/m (12). The value obtained for the total moment is 0.01 μB per formula unit. The calculation puts the volume at 149.5 Å³ per cell.

2.
Computed, not measured: a relaxed structure of La2AlPd6 at the PBE level of DFT.

Unit cell a=5.810 b=5.810 c=5.904 alpha=90.00 beta=90.00 gamma=120.00
Positions (direct):
La: 0.333 0.667 0.300
La: 0.667 0.333 0.700
Al: 0.000 0.000 0.500
Pd: 0.170 0.341 0.806
Pd: 0.170 0.830 0.806
Pd: 0.341 0.170 0.194
Pd: 0.659 0.830 0.806
Pd: 0.830 0.170 0.194
Pd: 0.830 0.659 0.194

Properties
The value obtained for the energy is -52.5 eV/cell. The space group is P-3m1 (164). The value obtained for the total moment is 0.00 μB per formula unit. The calculation puts the volume at 172.6 Å³ per cell.

3.
Computed, not measured: a relaxed structure of La2Al8Pd at the PBE level of DFT.

Unit cell a=4.423 b=4.423 c=11.559 alpha=90.00 beta=90.00 gamma=90.00
Positions (direct):
La: 0.000 0.000 0.192
La: 0.000 0.000 0.808
Al: 0.000 0.500 0.000
Al: 0.000 0.500 0.380
Al: 0.000 0.500 0.620
Al: 0.500 0.000 0.000
Al: 0.500 0.000 0.380
Al: 0.500 0.000 0.620
Al: 0.500 0.500 0.205
Al: 0.500 0.500 0.795
Pd: 0.000 0.000 0.500

Properties
The value obtained for the energy is -49.6 eV/cell. The space group is P4/mmm (123). The value obtained for the total moment is 0.00 μB per formula unit. The calculation puts the volume at 226.1 Å³ per cell.

Copy entry 1 word for word.
Computed, not measured: a relaxed structure of LaAl5Pd2 at the PBE level of DFT.

Unit cell a=6.500 b=6.500 c=4.129 alpha=108.31 beta=108.31 gamma=67.81
Positions (direct):
La: 0.000 0.000 0.000
Al: 0.162 0.541 0.352
Al: 0.459 0.838 0.648
Al: 0.500 0.500 0.000
Al: 0.541 0.162 0.352
Al: 0.838 0.459 0.648
Pd: 0.259 0.259 0.760
Pd: 0.741 0.741 0.240

Properties
The value obtained for the energy is -39.8 eV/cell. The space group is C2/m (12). The value obtained for the total moment is 0.01 μB per formula unit. The calculation puts the volume at 149.5 Å³ per cell.

> What is the energy in the first record?

-39.8 eV/cell

> What is the volume in the third record?

226.1 Å³ per cell

What did the second record say?
Computed, not measured: a relaxed structure of La2AlPd6 at the PBE level of DFT.

Unit cell a=5.810 b=5.810 c=5.904 alpha=90.00 beta=90.00 gamma=120.00
Positions (direct):
La: 0.333 0.667 0.300
La: 0.667 0.333 0.700
Al: 0.000 0.000 0.500
Pd: 0.170 0.341 0.806
Pd: 0.170 0.830 0.806
Pd: 0.341 0.170 0.194
Pd: 0.659 0.830 0.806
Pd: 0.830 0.170 0.194
Pd: 0.830 0.659 0.194

Properties
The value obtained for the energy is -52.5 eV/cell. The space group is P-3m1 (164). The value obtained for the total moment is 0.00 μB per formula unit. The calculation puts the volume at 172.6 Å³ per cell.